# Rb2LaCoF6

A geometry-optimized Rb2LaCoF6 structure (PBE+U, Alexandria).

Calculated values
- V: 190 Å³/f.u.
- Final energy: -104.09 eV per cell
- SG: No. 59

a = 6.3533 Å, b = 9.1298 Å, c = 6.5368 Å
α = 90.00°, β = 90.00°, γ = 90.00°
Sites, in units of the cell vectors:
Rb (0.2500, 0.0086, 0.2293)
Rb (0.2500, 0.4914, 0.2293)
Rb (0.7500, 0.5086, 0.7707)
Rb (0.7500, 0.9914, 0.7707)
La (0.2500, 0.2500, 0.7344)
La (0.7500, 0.7500, 0.2656)
Co (0.2500, 0.7500, 0.7618)
Co (0.7500, 0.2500, 0.2382)
F (0.9999, 0.2500, 0.4787)
F (0.0001, 0.7500, 0.5213)
F (0.0054, 0.7500, 0.0108)
F (0.2500, 0.5028, 0.7625)
F (0.2500, 0.9972, 0.7625)
F (0.4946, 0.7500, 0.0108)
F (0.5001, 0.2500, 0.4787)
F (0.4999, 0.7500, 0.5213)
F (0.5054, 0.2500, 0.9892)
F (0.7500, 0.0028, 0.2375)
F (0.7500, 0.4972, 0.2375)
F (0.9946, 0.2500, 0.9892)